Record 1
The following is a DFT calculation (PBE) of crystalline ScCdB2 at its relaxed geometry.

Output
Total magnetization ... 0.01 μB per cell
VASP energy ... -3.991 eV per atom

a b c (Å): 4.3089 4.3089 4.3089
angles (deg): 60.00 60.00 60.00
Closest atoms and distances in Å follow each position.
Positions (direct):
Sc: 0.0000 0.0000 0.0000  4 Cd 2.64, 4 B 2.64
Cd: 0.2500 0.2500 0.2500  4 B 2.64, 4 Sc 2.64
B: 0.5000 0.5000 0.5000  4 Cd 2.64, 4 B 2.64
B: 0.7500 0.7500 0.7500  4 Sc 2.64, 4 B 2.64

Record 2
The following is a DFT calculation (PBE) of crystalline TbHoPd2 at its relaxed geometry.

Output
Total magnetization ... 0.01 μB per cell
Polymorph energy (0 for the lowest one) ... 0.000 eV/f.u.

a b c (Å): 5.6051 4.5769 6.9229
angles (deg): 90.00 90.46 90.00
Closest atoms and distances in Å follow each position.
Positions (direct):
Tb: 0.1440 0.2500 0.1831  7 Pd 2.91-3.02
Tb: 0.8560 0.7500 0.8169  7 Pd 2.91-3.02
Ho: 0.3575 0.2500 0.6821  7 Pd 2.91-3.04
Ho: 0.6425 0.7500 0.3179  7 Pd 2.91-3.04
Pd: 0.1563 0.7500 0.4610  4 Ho 2.91-3.04, 2 Pd 2.93, 3 Tb 2.99-3.00
Pd: 0.3465 0.7500 0.9561  4 Tb 2.91-3.02, 2 Pd 2.92, 3 Ho 2.97-2.99
Pd: 0.6535 0.2500 0.0439  4 Tb 2.91-3.02, 2 Pd 2.92, 3 Ho 2.97-2.99
Pd: 0.8437 0.2500 0.5390  4 Ho 2.91-3.04, 2 Pd 2.93, 3 Tb 2.99-3.00

Record 3
The following is a DFT calculation (PBE) of crystalline TcBAs2 at its relaxed geometry.

Output
Total magnetization ... 0.00 μB per cell
VASP energy ... -5.641 eV per atom

a b c (Å): 4.3004 4.3004 4.3004
angles (deg): 60.00 60.00 60.00
Closest atoms and distances in Å follow each position.
Positions (direct):
Tc: 0.0000 0.0000 0.0000  4 As 2.63, 4 B 2.63
B: 0.2500 0.2500 0.2500  4 As 2.63, 4 Tc 2.63
As: 0.5000 0.5000 0.5000  4 As 2.63, 4 B 2.63
As: 0.7500 0.7500 0.7500  4 As 2.63, 4 Tc 2.63

Record 4
The following is a DFT calculation (PBE) of crystalline YHoH2I4 at its relaxed geometry.

Output
Total magnetization ... 0.00 μB per cell
VASP energy ... -4.178 eV per atom

a b c (Å): 3.9840 3.9840 16.6467
angles (deg): 90.00 90.00 120.00
Closest atoms and distances in Å follow each position.
Positions (direct):
Y: 0.0000 0.0000 0.0000  3 H 2.30
Ho: 0.0000 0.0000 0.5000  3 H 2.30
H: 0.3333 0.6667 0.5000  3 Ho 2.30
H: 0.6667 0.3333 0.0000  3 Y 2.30
I: 0.3333 0.6667 0.1273  3 Y 3.13, 3 H 3.13
I: 0.3333 0.6667 0.8727  3 Y 3.13, 3 H 3.13
I: 0.6667 0.3333 0.3730  3 Ho 3.12, 3 H 3.12
I: 0.6667 0.3333 0.6270  3 Ho 3.12, 3 H 3.12

Record 5
The following is a DFT calculation (PBE) of crystalline DySc2As3 at its relaxed geometry.

Output
Total magnetization ... 0.00 μB per cell
VASP energy ... -6.620 eV per atom

a b c (Å): 3.9510 3.9510 9.6541
angles (deg): 90.00 90.00 120.00
Closest atoms and distances in Å follow each position.
Positions (direct):
Dy: 0.0000 0.0000 0.0000  6 As 2.87
Sc: 0.3333 0.6667 0.3392  6 As 2.75-2.76
Sc: 0.6667 0.3333 0.6608  6 As 2.75-2.76
As: 0.0000 0.0000 0.5000  6 Sc 2.76
As: 0.3333 0.6667 0.8203  3 Sc 2.75, 3 Dy 2.87
As: 0.6667 0.3333 0.1797  3 Sc 2.75, 3 Dy 2.87

Record 6
The following is a DFT calculation (PBE) of crystalline NiC2 at its relaxed geometry.

Output
Total magnetization ... 0.00 μB per cell
Polymorph energy (0 for the lowest one) ... 0.000 eV/f.u.

a b c (Å): 4.4804 4.4804 2.8453
angles (deg): 90.00 90.00 90.00
Closest atoms and distances in Å follow each position.
Positions (direct):
Ni: 0.0000 0.0000 0.0000  6 C 1.88-1.92
Ni: 0.5000 0.5000 0.5000  6 C 1.88-1.92
C: 0.2036 0.2036 0.5000  3 Ni 1.88-1.92
C: 0.2964 0.7036 0.0000  3 Ni 1.88-1.92
C: 0.7036 0.2964 0.0000  3 Ni 1.88-1.92
C: 0.7964 0.7964 0.5000  3 Ni 1.88-1.92

Record 7
The following is a DFT calculation (PBE) of crystalline HoCdSb at its relaxed geometry.

Output
Total magnetization ... 0.00 μB per cell
Polymorph energy (0 for the lowest one) ... 0.000 eV/f.u.

a b c (Å): 5.0652 5.0652 5.0652
angles (deg): 60.00 60.00 60.00
Closest atoms and distances in Å follow each position.
Positions (direct):
Ho: 0.0000 0.0000 0.0000  4 Cd 3.10, 4 Sb 3.10
Cd: 0.7500 0.7500 0.7500  4 Ho 3.10
Sb: 0.2500 0.2500 0.2500  4 Ho 3.10

Record 8
The following is a DFT calculation (PBE) of crystalline Er3Lu3FeSb2 at its relaxed geometry.

Output
Total magnetization ... 0.07 μB per cell
Polymorph energy (0 for the lowest one) ... 0.455 eV/f.u.

a b c (Å): 8.0967 8.0967 4.0709
angles (deg): 90.00 90.00 120.00
Closest atoms and distances in Å follow each position.
Positions (direct):
Er: 0.0000 0.7644 0.0000  2 Fe 2.79
Er: 0.2356 0.2356 0.0000  2 Fe 2.79
Er: 0.7644 0.0000 0.0000  2 Fe 2.79
Lu: 0.0000 0.3939 0.5000  1 Fe 3.19, 4 Sb 3.22, 4 Er 3.45
Lu: 0.3939 0.0000 0.5000  1 Fe 3.19, 4 Sb 3.22, 4 Er 3.45
Lu: 0.6061 0.6061 0.5000  1 Fe 3.19, 4 Sb 3.22, 4 Er 3.45
Fe: 0.0000 0.0000 0.5000  6 Er 2.79
Sb: 0.3333 0.6667 0.0000  3 Er 3.17, 6 Lu 3.22
Sb: 0.6667 0.3333 0.0000  3 Er 3.17, 6 Lu 3.22

Record 9
The following is a DFT calculation (PBE) of crystalline K3DyP at its relaxed geometry.

Output
Total magnetization ... 1.01 μB per cell
VASP energy ... -2.161 eV per atom

a b c (Å): 6.2486 6.2486 6.2486
angles (deg): 90.00 90.00 90.00
Closest atoms and distances in Å follow each position.
Positions (direct):
K: 0.0000 0.0000 0.5000  2 P 3.12
K: 0.0000 0.5000 0.0000  2 P 3.12
K: 0.5000 0.0000 0.0000  2 P 3.12
Dy: 0.5000 0.5000 0.5000  12 K 4.42
P: 0.0000 0.0000 0.0000  6 K 3.12

Record 10
The following is a DFT calculation (PBE) of crystalline Fe3S at its relaxed geometry.

Output
Total magnetization ... 8.62 μB per cell
VASP energy ... -7.134 eV per atom

a b c (Å): 3.6576 3.6576 3.6576
angles (deg): 90.00 90.00 90.00
Closest atoms and distances in Å follow each position.
Positions (direct):
Fe: 0.0000 0.0000 0.5000  4 S 2.59, 8 Fe 2.59
Fe: 0.0000 0.5000 0.0000  4 S 2.59, 8 Fe 2.59
Fe: 0.5000 0.0000 0.0000  4 S 2.59, 8 Fe 2.59
S: 0.5000 0.5000 0.5000  12 Fe 2.59

Record 11
The following is a DFT calculation (PBE) of crystalline TaBiAs at its relaxed geometry.

Output
Total magnetization ... 0.02 μB per cell
Polymorph energy (0 for the lowest one) ... 0.000 eV/f.u.

a b c (Å): 4.7363 4.7363 4.7363
angles (deg): 60.00 60.00 60.00
Closest atoms and distances in Å follow each position.
Positions (direct):
Ta: 0.0000 0.0000 0.0000  4 As 2.90, 4 Bi 2.90
Bi: 0.2500 0.2500 0.2500  4 Ta 2.90
As: 0.7500 0.7500 0.7500  4 Ta 2.90